! ScCuP2 (GGA-PBEsol, optimized geometry); values from VASP
&SYSTEM
  ibrav = 0, nat = 4, ntyp = 3
/
ATOMIC_SPECIES
Cu 63.55 Cu.upf
P 30.97 P.upf
Sc 44.96 Sc.upf
ATOMIC_POSITIONS crystal
Cu 0.5000 0.0000 0.5000
P 0.0000 0.0000 0.0000
P 0.0000 0.5000 0.5000
Sc 0.5000 0.5000 0.0000
CELL_PARAMETERS angstrom
-2.4349 -0.1347 2.5102
-2.1531 -2.4976 -2.2225
1.9442 -3.2013 1.7139
! magnetic moment: 0.00 μB/f.u.
! raw total energy: -24.61 eV for the cell shown

! YNbSN2 (GGA-PBEsol, optimized geometry); values from VASP
&SYSTEM
  ibrav = 0, nat = 5, ntyp = 4
/
ATOMIC_SPECIES
Y 88.91 Y.upf
Nb 92.91 Nb.upf
S 32.06 S.upf
N 14.01 N.upf
ATOMIC_POSITIONS crystal
Y 0.0000 0.0000 0.0000
Nb 0.5000 0.5000 0.5000
S 0.0000 0.0000 0.5000
N 0.0000 0.5000 0.0000
N 0.5000 0.0000 0.0000
CELL_PARAMETERS angstrom
4.1699 0.0000 0.0000
0.0000 4.1699 0.0000
0.0000 0.0000 5.0908
! magnetic moment: 1.02 μB/f.u.
! formation energy from raw total energies: 0.7890 eV per atom
! raw total energy: -35.14 eV for the cell shown

! Sb2MoBr (GGA-PBEsol, optimized geometry); values from VASP
&SYSTEM
  ibrav = 0, nat = 4, ntyp = 3
/
ATOMIC_SPECIES
Sb 121.76 Sb.upf
Mo 95.94 Mo.upf
Br 79.90 Br.upf
ATOMIC_POSITIONS crystal
Sb 0.2611 0.2611 0.2167
Sb 0.7389 0.7389 0.7833
Mo 0.0000 0.0000 0.0000
Br 0.5000 0.5000 0.5000
CELL_PARAMETERS angstrom
3.4725 0.0000 0.0000
1.7363 3.0073 0.0000
1.7363 1.0024 8.5538
! magnetic moment: 0.00 μB/f.u.
! formation energy from raw total energies: 0.0456 eV per atom
! raw total energy: -22.57 eV for the cell shown

! LaTlAu2 (GGA-PBEsol, optimized geometry); values from VASP
&SYSTEM
  ibrav = 0, nat = 4, ntyp = 3
/
ATOMIC_SPECIES
Au 196.97 Au.upf
La 138.91 La.upf
Tl 204.38 Tl.upf
ATOMIC_POSITIONS crystal
Au 0.0318 0.0318 0.9045
Au 0.7135 0.7135 0.8596
La 0.4894 0.4894 0.5318
Tl 0.2653 0.2653 0.2040
CELL_PARAMETERS angstrom
-4.5821 -0.6496 1.4571
-0.9155 -2.2899 4.1784
-1.6914 3.0589 4.1228
! magnetic moment: 0.00 μB/f.u.
! raw total energy: -17.71 eV for the cell shown

! LiAu (GGA-PBEsol, optimized geometry); values from VASP
&SYSTEM
  ibrav = 0, nat = 4, ntyp = 2
/
ATOMIC_SPECIES
Au 196.97 Au.upf
Li 6.94 Li.upf
ATOMIC_POSITIONS crystal
Au 0.5000 0.2500 0.2928
Au 0.5000 0.7500 0.7072
Li 0.0000 0.2500 0.7954
Li 0.0000 0.7500 0.2046
CELL_PARAMETERS angstrom
2.7821 0.0000 0.0000
0.0000 4.5494 0.0000
0.0000 0.0000 4.6235
! magnetic moment: 0.00 μB/f.u.
! raw total energy: -13.80 eV for the cell shown

! Be2AuBr (GGA-PBEsol, optimized geometry); values from VASP
&SYSTEM
  ibrav = 0, nat = 4, ntyp = 3
/
ATOMIC_SPECIES
Be 9.01 Be.upf
Au 196.97 Au.upf
Br 79.90 Br.upf
ATOMIC_POSITIONS crystal
Be 0.0000 0.0000 0.6787
Be 0.0000 0.0000 0.3213
Au 0.5000 0.5000 0.5000
Br 0.5000 0.5000 0.0000
CELL_PARAMETERS angstrom
-2.7217 1.1461 -1.0159
-1.0916 -2.9047 -0.3526
-2.1938 0.0977 5.9876
! magnetic moment: 0.00 μB/f.u.
! formation energy from raw total energies: 0.2578 eV per atom
! raw total energy: -12.76 eV for the cell shown

! AsRu (GGA-PBEsol, optimized geometry); values from VASP
&SYSTEM
  ibrav = 0, nat = 8, ntyp = 2
/
ATOMIC_SPECIES
Ru 101.07 Ru.upf
As 74.92 As.upf
ATOMIC_POSITIONS crystal
Ru 0.7500 0.9975 0.7973
Ru 0.2500 0.5025 0.2973
Ru 0.2500 0.0025 0.2027
Ru 0.7500 0.4975 0.7027
As 0.7500 0.8044 0.4323
As 0.2500 0.6956 0.9323
As 0.2500 0.1956 0.5677
As 0.7500 0.3044 0.0677
CELL_PARAMETERS angstrom
3.2977 0.0000 0.0000
0.0000 5.6936 0.0000
0.0000 0.0000 6.3430
! magnetic moment: 0.00 μB/f.u.
! raw total energy: -63.30 eV for the cell shown

! BaAl2Ir (GGA-PBEsol, optimized geometry); values from VASP
&SYSTEM
  ibrav = 0, nat = 4, ntyp = 3
/
ATOMIC_SPECIES
Ir 192.22 Ir.upf
Ba 137.33 Ba.upf
Al 26.98 Al.upf
ATOMIC_POSITIONS crystal
Ir 0.5000 0.5000 0.5000
Ba 0.0000 0.0000 0.0000
Al 0.8060 0.8060 0.5819
Al 0.1940 0.1940 0.4181
CELL_PARAMETERS angstrom
4.3019 0.0000 0.0000
2.1509 3.7255 0.0000
2.1509 1.2418 5.9403
! magnetic moment: 0.00 μB/f.u.
! raw total energy: -22.24 eV for the cell shown

! Al3Ir (GGA-PBEsol, optimized geometry); values from VASP
&SYSTEM
  ibrav = 0, nat = 4, ntyp = 2
/
ATOMIC_SPECIES
Ir 192.22 Ir.upf
Al 26.98 Al.upf
ATOMIC_POSITIONS crystal
Ir 0.0000 0.0000 0.0000
Al 0.0000 0.5000 0.5000
Al 0.5000 0.0000 0.5000
Al 0.5000 0.5000 0.0000
CELL_PARAMETERS angstrom
3.8441 0.0000 0.0000
0.0000 3.8441 0.0000
0.0000 0.0000 3.8441
! magnetic moment: 0.00 μB/f.u.
! raw total energy: -23.98 eV for the cell shown

! Sc2Si2Os (GGA-PBEsol, optimized geometry); values from VASP
&SYSTEM
  ibrav = 0, nat = 10, ntyp = 3
/
ATOMIC_SPECIES
Sc 44.96 Sc.upf
Si 28.09 Si.upf
Os 190.23 Os.upf
ATOMIC_POSITIONS crystal
Sc 0.5000 0.1738 0.6738
Sc 0.5000 0.6738 0.8262
Sc 0.5000 0.8262 0.3262
Sc 0.5000 0.3262 0.1738
Si 0.0000 0.3677 0.8677
Si 0.0000 0.8677 0.6323
Si 0.0000 0.6323 0.1323
Si 0.0000 0.1323 0.3677
Os 0.0000 0.0000 0.0000
Os 0.0000 0.5000 0.5000
CELL_PARAMETERS angstrom
3.9752 0.0000 0.0000
0.0000 6.3552 0.0000
0.0000 0.0000 6.3552
! magnetic moment: 0.00 μB/f.u.
! formation energy from raw total energies: -0.8691 eV per atom
! raw total energy: -82.53 eV for the cell shown

! CdWSe (GGA-PBEsol, optimized geometry); values from VASP
&SYSTEM
  ibrav = 0, nat = 3, ntyp = 3
/
ATOMIC_SPECIES
Cd 112.41 Cd.upf
Se 78.96 Se.upf
W 183.84 W.upf
ATOMIC_POSITIONS crystal
Cd 0.5000 0.5000 0.5000
Se 0.2500 0.2500 0.2500
W 0.0000 0.0000 0.0000
CELL_PARAMETERS angstrom
4.3430 0.0000 0.0000
2.1715 3.7612 0.0000
2.1715 1.2537 3.5461
! magnetic moment: 0.00 μB/f.u.
! formation energy from raw total energies: 1.0620 eV per atom
! raw total energy: -15.67 eV for the cell shown

! CaTa2Mn (GGA-PBEsol, optimized geometry); values from VASP
&SYSTEM
  ibrav = 0, nat = 4, ntyp = 3
/
ATOMIC_SPECIES
Ca 40.08 Ca.upf
Mn 54.94 Mn.upf
Ta 180.95 Ta.upf
ATOMIC_POSITIONS crystal
Ca 0.5320 0.5320 0.0640
Mn 0.2706 0.7706 0.5412
Ta 0.9500 0.9500 0.8999
Ta 0.7475 0.2475 0.4949
CELL_PARAMETERS angstrom
-1.4703 1.0650 2.5768
3.4491 -1.6830 2.6636
1.3803 4.5384 -3.0162
! magnetic moment: 0.00 μB/f.u.
! raw total energy: -34.62 eV for the cell shown